[1]
The following is a PBE calculation of an optimized crystal structure of Li2TcCl, from the Alexandria database.

Calculated values
- M_tot (Bohr magnetons per cell) = 0.001
- E_form (uncorrected) (meV/atom) = 228
- offset from the most stable computed form (meV/atom) = 484.3
- V (A^3/atom) = 14.394
- space group = No. 10

abc: 2.8143 4.6584 5.3190
angles: 55.66 90.00 90.00
Sites, in units of the cell vectors:
Cl (0.0000, 0.0000, 0.5000)
Li (0.0000, 0.0000, 0.0000)
Li (0.5000, 0.5000, 0.0000)
Tc (0.5000, 0.5000, 0.5000)



[2]
The following is a PBE calculation of an optimized crystal structure of Ac12Cu3O5, from the Alexandria database.

Calculated values
- M_tot (Bohr magnetons per cell) = 0.002
- E_form (uncorrected) (meV/atom) = -1286
- V (A^3/atom) = 29.921
- space group = No. 230

abc: 14.5959 14.5959 14.5959
angles: 109.47 109.47 109.47
Sites, in units of the cell vectors:
Cu (0.7500, 0.3750, 0.1250)
Cu (0.8750, 0.7500, 0.1250)
Cu (0.3750, 0.7500, 0.6250)
Cu (0.2500, 0.1250, 0.3750)
Cu (0.8750, 0.1250, 0.2500)
Cu (0.3750, 0.6250, 0.2500)
Cu (0.6250, 0.3750, 0.7500)
Cu (0.1250, 0.8750, 0.7500)
Cu (0.7500, 0.8750, 0.6250)
Cu (0.6250, 0.2500, 0.3750)
Cu (0.1250, 0.2500, 0.8750)
Cu (0.2500, 0.6250, 0.8750)
O (0.1250, 0.3750, 0.2500)
O (0.0000, 0.5000, 0.0000)
O (0.0000, 0.0000, 0.0000)
O (0.3750, 0.2500, 0.1250)
O (0.5000, 0.0000, 0.5000)
O (0.5000, 0.5000, 0.0000)
O (0.1250, 0.7500, 0.3750)
O (0.7500, 0.1250, 0.8750)
O (0.7500, 0.6250, 0.3750)
O (0.3750, 0.1250, 0.7500)
O (0.6250, 0.8750, 0.2500)
O (0.5000, 0.5000, 0.5000)
O (0.5000, 0.0000, 0.0000)
O (0.0000, 0.0000, 0.5000)
O (0.2500, 0.3750, 0.6250)
O (0.2500, 0.8750, 0.1250)
O (0.0000, 0.5000, 0.5000)
O (0.8750, 0.2500, 0.6250)
O (0.6250, 0.7500, 0.8750)
O (0.8750, 0.6250, 0.7500)
Ac (0.7050, 0.1143, 0.0185)
Ac (0.3135, 0.5185, 0.4042)
Ac (0.9815, 0.3857, 0.2950)
Ac (0.5185, 0.2050, 0.1143)
Ac (0.5907, 0.7050, 0.6865)
Ac (0.9815, 0.5958, 0.1865)
Ac (0.3135, 0.7950, 0.4093)
Ac (0.0958, 0.9093, 0.1143)
Ac (0.5958, 0.9815, 0.6865)
Ac (0.7050, 0.5907, 0.1865)
Ac (0.7950, 0.4815, 0.3857)
Ac (0.8135, 0.9042, 0.0185)
Ac (0.1143, 0.7050, 0.5185)
Ac (0.3857, 0.4042, 0.0907)
Ac (0.0907, 0.9042, 0.3857)
Ac (0.4093, 0.1143, 0.5958)
Ac (0.0907, 0.1865, 0.2050)
Ac (0.4815, 0.6865, 0.0958)
Ac (0.8135, 0.9093, 0.2950)
Ac (0.1143, 0.4093, 0.0958)
Ac (0.3857, 0.9815, 0.7950)
Ac (0.5958, 0.6143, 0.4093)
Ac (0.9042, 0.8135, 0.5185)
Ac (0.7950, 0.3135, 0.9093)
Ac (0.4042, 0.3857, 0.5907)
Ac (0.0958, 0.1865, 0.4815)
Ac (0.2050, 0.6865, 0.0907)
Ac (0.1865, 0.0907, 0.7050)
Ac (0.6143, 0.0185, 0.2050)
Ac (0.8857, 0.5907, 0.9042)
Ac (0.5185, 0.3135, 0.9042)
Ac (0.5907, 0.8857, 0.4042)
Ac (0.9093, 0.8135, 0.7950)
Ac (0.9093, 0.0958, 0.6143)
Ac (0.8857, 0.2950, 0.4815)
Ac (0.1865, 0.0958, 0.9815)
Ac (0.6143, 0.5958, 0.9093)
Ac (0.4042, 0.0185, 0.3135)
Ac (0.2950, 0.4093, 0.8135)
Ac (0.2050, 0.5185, 0.6143)
Ac (0.9042, 0.0907, 0.8857)
Ac (0.6865, 0.2050, 0.5907)
Ac (0.4815, 0.7950, 0.8857)
Ac (0.0185, 0.4042, 0.8135)
Ac (0.4093, 0.2950, 0.3135)
Ac (0.0185, 0.6143, 0.7050)
Ac (0.6865, 0.4815, 0.5958)
Ac (0.2950, 0.8857, 0.9815)



[3]
The following is a PBE calculation of an optimized crystal structure of LaAs2Os, from the Alexandria database.

Calculated values
- M_tot (Bohr magnetons per cell) = 0.000
- ΔH_f (0 K) (eV/atom) = -0.293
- offset from the most stable computed form (meV/atom) = 369.3
- V (A^3/atom) = 21.173
- space group = No. 44

abc: 7.1473 7.1473 7.1473
angles: 153.74 148.31 41.61
Sites, in units of the cell vectors:
As (0.0684, 0.0684, 0.0000)
As (0.7739, 0.2739, 0.5000)
Os (0.2094, 0.7094, 0.5000)
La (0.4483, 0.4483, 0.0000)